(1)
An optimized crystal structure of TbHoSc2. Source: the Alexandria database, functional PBE-GGA.

## Properties
Polymorph energy (0 for the lowest one) in meV per atom: 127

Structure (extended XYZ):
```
16
Lattice="-5.894 -1.518 -5.992 1.793 -7.866 0.229 -4.555 -0.901 4.707" Properties=species:S:1:pos:R:3 pbc="T T T"
Sc -4.001 -3.697 -1.109
Sc -1.413 -7.126 3.087
Sc -2.363 -6.134 -2.310
Tb -1.849 -8.467 0.071
Sc -7.243 -3.159 -4.143
Ho -0.778 -4.125 -0.385
Ho -4.533 -1.339 -3.484
Tb -6.808 -1.818 -1.128
Ho -7.879 -6.160 -0.672
Sc -4.656 -6.588 0.053
Tb -5.591 -5.737 -3.026
Sc -6.294 -4.151 1.254
Ho -4.124 -8.947 2.427
Sc -9.537 -3.613 -1.779
Sc 0.880 -6.672 0.723
Tb -3.065 -4.549 1.970
```

---

(2)
An optimized crystal structure of TeIr2Se. Source: the Alexandria database, functional PBE-GGA.

## Properties
ΔE_f (raw) in eV per atom: 0.0210
Polymorph energy (0 for the lowest one) in meV per atom: 0

Structure (extended XYZ):
```
4
Lattice="-3.140 2.319 -0.763 0.155 -1.064 -3.871 -3.594 -4.437 1.308" Properties=species:S:1:pos:R:3 pbc="T T T"
Te -4.469 -3.475 -2.533
Se -1.328 -2.154 -1.079
Ir -0.352 -1.545 -3.246
Ir -1.996 0.175 -1.620
```

---

(3)
An optimized crystal structure of Ho2SbHPd6. Source: the Alexandria database, functional PBE-GGA.

Structure (extended XYZ):
```
10
Lattice="-0.952 1.186 -5.444 -5.853 -4.002 0.246 -6.766 1.425 -1.463" Properties=species:S:1:pos:R:3 pbc="T T T"
Pd -4.425 0.190 -1.854
Pd -4.963 -1.976 -3.579
Pd -10.745 -1.113 -2.458
H -3.403 -1.408 -2.599
Sb 0.000 0.000 0.000
Ho -7.699 -2.025 -2.147
Ho -5.872 0.634 -4.513
Pd -8.608 0.585 -3.081
Pd -9.146 -1.581 -4.806
Pd -2.826 -0.278 -4.202
```

---

Per-record mass density, g/cm3: 6.030; 10.492; 10.328
Per-record size of the total moment, Bohr magnetons per cell: 0.001; 0.000; 0.000
Per-record energy, eV per atom: -5.290; -6.066; -5.450